Entry 1:
## SrTlSi2 (GGA-PBE)

Data for a geometry-optimized SrTlSi2 structure.

* magnetic moment: 0.000 μB/atom
* uncorrected formation energy: 0.2793 eV per atom
* crystal system: cubic
* calculated volume: 99.6 Å³ per cell
* electronic total energy: -3.444 eV/atom
* offset from the most stable computed form: 0.3942 eV per atom

Lattice parameters (Å, degrees): 5.2035 5.2035 5.2035 60.00 60.00 60.00
Element x y z (fractional)
Si 0.0000 0.0000 0.0000
Si 0.2500 0.2500 0.2500
Sr 0.5000 0.5000 0.5000
Tl 0.7500 0.7500 0.7500



Entry 2:
## TeS5F (GGA-PBE)

Data for a geometry-optimized TeS5F structure.

* magnetic moment: 0.000 μB/atom
* uncorrected formation energy: -0.1685 eV per atom
* crystal system: triclinic
* calculated volume: 221.3 Å³ per cell
* electronic total energy: -3.833 eV/atom

Lattice parameters (Å, degrees): 6.0441 4.6105 8.5766 94.81 101.34 107.20
Element x y z (fractional)
Te 0.9493 0.3215 0.6458
S 0.7644 0.1557 0.1142
S 0.0007 0.5762 0.0935
S 0.9573 0.9195 0.2522
S 0.3991 0.5859 0.6501
S 0.5013 0.2114 0.6488
F 0.9585 0.7605 0.6568



Entry 3:
## Lu4Co2N (GGA-PBE)

Data for a geometry-optimized Lu4Co2N structure.

* magnetic moment: 0.078 μB/atom
* uncorrected formation energy: 0.5849 eV per atom
* crystal system: tetragonal
* calculated volume: 206.4 Å³ per cell
* electronic total energy: -5.218 eV/atom

Lattice parameters (Å, degrees): 4.5622 4.5622 10.4296 77.37 77.37 90.00
Site moments in Bohr magnetons follow the coordinates.
Element x y z (fractional)
Lu 0.7957 0.7957 0.4087  0.12
Lu 0.2043 0.2043 0.5913  0.12
Lu 0.0000 0.5000 0.0000  0.01
Lu 0.5000 0.0000 0.0000  0.01
Co 0.9088 0.9088 0.1823  0.01
Co 0.0912 0.0912 0.8177  0.01
N 0.0000 0.0000 0.0000  -0.01



> Which of these has the lowest calculated volume?

SrTlSi2